[1]
{
  "formula": "KBa2Zn",
  "functional": "PBEsol",
  "state": "relaxed",
  "cell": [[4.700, 0.000, 0.000], [0.000, 6.031, 0.127], [0.000, -0.122, 6.031]],
  "species": ["K", "Zn", "Ba", "Ba"],
  "fractional_positions": [[0.500, 0.000, 0.000], [0.500, 0.500, 0.500], [0.000, 0.500, 0.000], [0.000, 0.000, 0.500]],
  "dft_energy_ha_per_atom": -0.05723,
  "n_ef_per_ev_atom": 1.535,
  "spacegroup": "No. 65"
}

***

[2]
{
  "formula": "K3BaZn",
  "functional": "PBEsol",
  "state": "relaxed",
  "cell": [[6.601, 0.000, 0.000], [0.000, 6.601, 0.000], [0.000, 0.000, 6.601]],
  "species": ["K", "K", "K", "Zn", "Ba"],
  "fractional_positions": [[0.000, 0.500, 0.000], [0.500, 0.000, 0.000], [0.000, 0.000, 0.500], [0.000, 0.000, 0.000], [0.500, 0.500, 0.500]],
  "dft_energy_ha_per_atom": -0.04261,
  "n_ef_per_ev_atom": 1.086,
  "spacegroup": "No. 221"
}

***

[3]
{
  "formula": "K4BaZr",
  "functional": "PBEsol",
  "state": "relaxed",
  "cell": [[-2.130, -6.832, -2.335], [4.762, -5.808, 0.516], [-1.262, -5.468, 5.017]],
  "species": ["Zr", "K", "K", "K", "K", "Ba"],
  "fractional_positions": [[0.750, 0.750, 0.750], [0.377, 0.377, 0.377], [0.377, 0.377, 0.870], [0.377, 0.870, 0.377], [0.870, 0.377, 0.377], [0.000, 0.000, 0.000]],
  "dft_energy_ha_per_atom": -0.06847,
  "n_ef_per_ev_atom": 2.086,
  "spacegroup": "No. 216"
}

***

[4]
{
  "formula": "KBaZr2",
  "functional": "PBEsol",
  "state": "relaxed",
  "cell": [[3.395, 0.000, 0.000], [0.000, 5.526, 0.000], [0.000, 0.000, 6.347]],
  "species": ["Ba", "Zr", "Zr", "K"],
  "fractional_positions": [[0.500, 0.000, 0.500], [0.500, 0.500, 0.000], [0.000, 0.000, 0.000], [0.000, 0.500, 0.500]],
  "dft_energy_ha_per_atom": -0.16451,
  "n_ef_per_ev_atom": 1.466,
  "spacegroup": "No. 47"
}

***

[5]
{
  "formula": "KBa4Zr",
  "functional": "PBEsol",
  "state": "relaxed",
  "cell": [[-0.538, 7.159, 2.185], [-6.744, 3.047, 1.243], [-2.145, 1.635, 7.003]],
  "species": ["Ba", "Ba", "Ba", "Ba", "K", "Zr"],
  "fractional_positions": [[0.373, 0.373, 0.373], [0.881, 0.373, 0.373], [0.373, 0.881, 0.373], [0.373, 0.373, 0.881], [0.750, 0.750, 0.750], [0.000, 0.000, 0.000]],
  "dft_energy_ha_per_atom": -0.08832,
  "n_ef_per_ev_atom": 1.887,
  "spacegroup": "No. 216"
}

***

[6]
{
  "formula": "KBaZr2",
  "functional": "PBEsol",
  "state": "relaxed",
  "cell": [[5.602, 0.000, 0.000], [2.801, 4.851, 0.000], [2.801, 1.617, 4.574]],
  "species": ["Ba", "Zr", "Zr", "K"],
  "fractional_positions": [[0.500, 0.500, 0.500], [0.000, 0.000, 0.000], [0.750, 0.750, 0.750], [0.250, 0.250, 0.250]],
  "dft_energy_ha_per_atom": -0.16105,
  "n_ef_per_ev_atom": 0.964,
  "spacegroup": "No. 216"
}

***

[7]
{
  "formula": "KBaZr2",
  "functional": "PBEsol",
  "state": "relaxed",
  "cell": [[3.294, 0.000, 0.000], [1.647, 2.852, 0.000], [1.647, 0.951, 12.945]],
  "species": ["Ba", "Zr", "Zr", "K"],
  "fractional_positions": [[0.500, 0.500, 0.500], [0.755, 0.755, 0.736], [0.245, 0.245, 0.264], [0.000, 0.000, 0.000]],
  "dft_energy_ha_per_atom": -0.16704,
  "n_ef_per_ev_atom": 1.490,
  "spacegroup": "No. 166"
}

***

[8]
{
  "formula": "BaLa2",
  "functional": "PBEsol",
  "state": "relaxed",
  "cell": [[3.788, 0.000, 0.000], [0.000, 6.070, 0.000], [-1.894, 0.000, 10.428]],
  "species": ["La", "La", "La", "La", "Ba", "Ba"],
  "fractional_positions": [[0.099, 0.750, 0.198], [0.545, 0.250, 0.091], [0.901, 0.250, 0.802], [0.455, 0.750, 0.909], [0.209, 0.250, 0.418], [0.791, 0.750, 0.582]],
  "dft_energy_ha_per_atom": -0.15262,
  "n_ef_per_ev_atom": 1.753,
  "spacegroup": "No. 63"
}

***

[9]
{
  "formula": "Ba2La",
  "functional": "PBEsol",
  "state": "relaxed",
  "cell": [[-1.615, -1.036, -3.213], [0.832, -6.696, -0.438], [-5.070, -4.137, 1.703]],
  "species": ["Ba", "Ba", "La"],
  "fractional_positions": [[0.174, 0.326, 0.326], [0.826, 0.674, 0.674], [0.000, 0.000, 0.000]],
  "dft_energy_ha_per_atom": -0.10766,
  "n_ef_per_ev_atom": 1.789,
  "spacegroup": "No. 71"
}

***

[10]
{
  "formula": "BaLa2",
  "functional": "PBEsol",
  "state": "relaxed",
  "cell": [[-2.312, 0.954, 2.722], [2.306, -4.375, 3.492], [2.417, 5.550, 0.108]],
  "species": ["Ba", "La", "La"],
  "fractional_positions": [[0.500, 0.000, 0.000], [0.000, 0.333, 0.667], [0.000, 0.667, 0.333]],
  "dft_energy_ha_per_atom": -0.14892,
  "n_ef_per_ev_atom": 1.868,
  "spacegroup": "No. 191"
}

***

[11]
{
  "formula": "BaLa5",
  "functional": "PBEsol",
  "state": "relaxed",
  "cell": [[5.970, 0.000, 0.000], [0.000, 6.536, 0.000], [0.000, -3.268, 5.661]],
  "species": ["Ba", "La", "La", "La", "La", "La"],
  "fractional_positions": [[0.500, 0.000, 0.000], [0.500, 0.333, 0.667], [0.000, 0.375, 0.375], [0.000, 0.625, 0.000], [0.000, 0.000, 0.625], [0.500, 0.667, 0.333]],
  "dft_energy_ha_per_atom": -0.17278,
  "n_ef_per_ev_atom": 1.565,
  "spacegroup": "No. 189"
}

***

[12]
{
  "formula": "BaLa5",
  "functional": "PBEsol",
  "state": "relaxed",
  "cell": [[-1.935, 2.936, 1.083], [0.775, -0.784, 3.510], [13.275, 9.083, -0.901]],
  "species": ["La", "La", "La", "La", "La", "Ba"],
  "fractional_positions": [[0.000, 0.000, 0.500], [0.000, 0.000, 0.805], [0.500, 0.500, 0.657], [0.500, 0.500, 0.343], [0.000, 0.000, 0.195], [0.500, 0.500, 0.000]],
  "dft_energy_ha_per_atom": -0.17505,
  "n_ef_per_ev_atom": 1.370,
  "spacegroup": "No. 123"
}

***

[13]
{
  "formula": "BaLa2",
  "functional": "PBEsol",
  "state": "relaxed",
  "cell": [[3.702, 0.000, 0.000], [0.000, 6.397, 0.000], [-1.851, -3.199, 9.974]],
  "species": ["La", "La", "La", "La", "Ba", "Ba"],
  "fractional_positions": [[0.817, 0.567, 0.634], [0.183, 0.433, 0.366], [0.026, 0.276, 0.053], [0.974, 0.724, 0.947], [0.645, 0.895, 0.291], [0.355, 0.105, 0.709]],
  "dft_energy_ha_per_atom": -0.14707,
  "n_ef_per_ev_atom": 1.658,
  "spacegroup": "No. 74"
}

***

[14]
{
  "formula": "Ba8La",
  "functional": "PBEsol",
  "state": "relaxed",
  "cell": [[-1.588, -5.780, -0.235], [3.034, -3.612, -8.228], [6.993, -5.187, 3.762]],
  "species": ["La", "Ba", "Ba", "Ba", "Ba", "Ba", "Ba", "Ba", "Ba"],
  "fractional_positions": [[0.000, 0.000, 0.000], [0.660, 0.000, 0.679], [0.673, 0.327, 0.327], [0.340, 0.321, 0.000], [0.660, 0.679, 0.000], [0.340, 0.000, 0.321], [0.327, 0.673, 0.673], [0.000, 0.327, 0.673], [0.000, 0.673, 0.327]],
  "dft_energy_ha_per_atom": -0.08889,
  "n_ef_per_ev_atom": 1.659,
  "spacegroup": "No. 139"
}

***

[15]
{
  "formula": "Ba3La",
  "functional": "PBEsol",
  "state": "relaxed",
  "cell": [[4.003, 0.011, 0.000], [-1.378, 3.758, 0.000], [0.000, 0.000, 13.249]],
  "species": ["La", "Ba", "Ba", "Ba"],
  "fractional_positions": [[0.500, 0.500, 0.500], [0.500, 0.500, 0.000], [0.000, 0.000, 0.734], [0.000, 0.000, 0.266]],
  "dft_energy_ha_per_atom": -0.10327,
  "n_ef_per_ev_atom": 1.154,
  "spacegroup": "No. 65"
}